*i*
# Li2HPd | Alexandria | PBE | optimized geometry
data_Li2HPd
_chemical_formula_sum 'Li6 H3 Pd3'
_symmetry_space_group_name_H-M 'R 3 m'
_symmetry_Int_Tables_number 160
_symmetry_space_group_name_Hall 'R 3 -2"'
_cell_length_a 2.7906
_cell_length_b 2.7906
_cell_length_c 19.6409
_cell_angle_alpha 90.00
_cell_angle_beta 90.00
_cell_angle_gamma 120.00
loop_
_atom_site_label
_atom_site_fract_x
_atom_site_fract_y
_atom_site_fract_z
Li1 0.0000 0.0000 0.0000
Li2 0.0000 0.0000 0.2146
H1 0.0000 0.0000 0.6081
Pd1 0.0000 0.0000 0.7742
# Spin magnetization in μB per cell: 0.00



*ii*
# Li2HPd | Alexandria | PBE | optimized geometry
data_Li2HPd
_chemical_formula_sum 'Li8 H4 Pd4'
_symmetry_space_group_name_H-M 'I -4 2 d'
_symmetry_Int_Tables_number 122
_symmetry_space_group_name_Hall 'I -4 2bw'
_cell_length_a 7.531
_cell_length_b 7.531
_cell_length_c 3.563
_cell_angle_alpha 90.00
_cell_angle_beta 90.00
_cell_angle_gamma 90.00
loop_
_atom_site_label
_atom_site_fract_x
_atom_site_fract_y
_atom_site_fract_z
Li1 0.112 0.250 0.125
H1 0.000 0.000 0.000
Pd1 0.000 0.000 0.500
# Spin magnetization in μB per cell: 0.00



Energetically preferred structure: *i* | next structure: +144 meV per atom